1.
A plane-wave DFT calculation with meta-GGA SCAN was carried out for Mn2CoRh at its PBEsol-relaxed geometry.

Summary:
Energy relative to the elements ... 0.200 eV/atom
DOS at the Fermi energy ... 5.187 states/eV/f.u.
Volume ... 44 Å³/f.u.
Symmetry ... Pmmm (47)

Cell lengths 2.5148, 3.5207, 4.9938 Å; angles 90.00, 90.00, 90.00 degrees
Last column: nearest neighbours and their distance in Å.
Fractional coordinates of all 4 atoms:
Mn1 0.0000 0.0000 0.7220  1 Mn 2.22, 4 Co 2.43
Rh1 0.5000 0.5000 0.0000  2 Co 2.50, 2 Rh 2.51, 8 Mn 2.57
Co1 0.5000 0.5000 0.5000  8 Mn 2.43, 2 Rh 2.50, 2 Co 2.51
Mn2 0.0000 0.0000 0.2780  1 Mn 2.22, 4 Co 2.43



2.
A plane-wave DFT calculation with meta-GGA SCAN was carried out for Mn2CoRh at its PBEsol-relaxed geometry.

Summary:
Energy relative to the elements ... 0.066 eV/atom
DOS at the Fermi energy ... 4.868 states/eV/f.u.
Volume ... 45 Å³/f.u.
Symmetry ... P4/mmm (123)

Cell lengths 2.5219, 2.5219, 7.0201 Å; angles 90.00, 90.00, 90.00 degrees
Last column: nearest neighbours and their distance in Å.
Fractional coordinates of all 4 atoms:
Mn1 0.0000 0.0000 0.2629  4 Co 2.44, 4 Mn 2.52, 4 Rh 2.57
Mn2 0.0000 0.0000 0.7371  4 Co 2.44, 4 Mn 2.52, 4 Rh 2.57
Rh1 0.5000 0.5000 0.0000  4 Rh 2.52, 8 Mn 2.57
Co1 0.5000 0.5000 0.5000  8 Mn 2.44, 4 Co 2.52



3.
A plane-wave DFT calculation with meta-GGA SCAN was carried out for Mn2CoRh at its PBEsol-relaxed geometry.

Summary:
Energy relative to the elements ... -0.052 eV/atom
DOS at the Fermi energy ... 3.788 states/eV/f.u.
Volume ... 48 Å³/f.u.
Symmetry ... Cmmm (65)

Cell lengths 2.5647, 2.5647, 7.9919 Å; angles 90.00, 90.00, 112.77 degrees
Last column: nearest neighbours and their distance in Å.
Fractional coordinates of all 4 atoms:
Co1 0.5000 0.5000 0.0000  4 Mn 2.38, 4 Co 2.56
Mn1 0.0000 0.0000 0.7614  2 Co 2.38, 2 Rh 2.53, 4 Mn 2.56
Rh1 0.5000 0.5000 0.5000  4 Mn 2.53, 4 Rh 2.56
Mn2 0.0000 0.0000 0.2386  2 Co 2.38, 2 Rh 2.53, 4 Mn 2.56



4.
A plane-wave DFT calculation with meta-GGA SCAN was carried out for Mn2CoRh at its PBEsol-relaxed geometry.

Summary:
Energy relative to the elements ... -0.259 eV/atom
DOS at the Fermi energy ... 3.044 states/eV/f.u.
Volume ... 46 Å³/f.u.
Symmetry ... I-4m2 (119)

Cell lengths 3.5762, 3.5762, 4.4013 Å; angles 113.97, 113.97, 90.00 degrees
Last column: nearest neighbours and their distance in Å.
Fractional coordinates of all 4 atoms:
Mn1 0.2500 0.7500 0.5000  4 Co 2.53, 4 Mn 2.54, 4 Rh 2.54
Co1 0.7500 0.2500 0.5000  8 Mn 2.53-2.54, 4 Rh 2.54
Rh1 0.0000 0.0000 0.0000  8 Mn 2.53-2.54, 4 Co 2.54
Mn2 0.5000 0.5000 0.0000  4 Rh 2.53, 4 Mn 2.54, 4 Co 2.54



5.
A plane-wave DFT calculation with meta-GGA SCAN was carried out for MnCoRh2 at its PBEsol-relaxed geometry.

Summary:
Energy relative to the elements ... -0.138 eV/atom
DOS at the Fermi energy ... 3.635 states/eV/f.u.
Volume ... 51 Å³/f.u.
Symmetry ... Pmmm (47)

Cell lengths 2.7904, 4.2168, 4.3689 Å; angles 90.00, 90.00, 90.00 degrees
Last column: nearest neighbours and their distance in Å.
Fractional coordinates of all 4 atoms:
Rh1 0.0000 0.0000 0.0000  4 Co 2.53, 6 Rh 2.59-2.79
Mn1 0.0000 0.5000 0.5000  4 Rh 2.53, 4 Co 2.59, 2 Mn 2.79
Co1 0.5000 0.5000 0.0000  4 Rh 2.53, 4 Mn 2.59, 2 Co 2.79
Rh2 0.5000 0.0000 0.5000  4 Mn 2.53, 6 Rh 2.59-2.79



6.
A plane-wave DFT calculation with meta-GGA SCAN was carried out for MnCoRh2 at its PBEsol-relaxed geometry.

Summary:
Energy relative to the elements ... -0.152 eV/atom
DOS at the Fermi energy ... 5.421 states/eV/f.u.
Volume ... 51 Å³/f.u.
Symmetry ... Fm-3m (225)

Cell lengths 4.1653, 4.1653, 4.1653 Å; angles 60.00, 60.00, 60.00 degrees
Last column: nearest neighbours and their distance in Å.
Fractional coordinates of all 4 atoms:
Mn1 0.5000 0.5000 0.5000  8 Rh 2.55
Rh1 0.2500 0.2500 0.2500  4 Mn 2.55, 4 Co 2.55
Co1 0.0000 0.0000 0.0000  8 Rh 2.55
Rh2 0.7500 0.7500 0.7500  4 Co 2.55, 4 Mn 2.55



7.
A plane-wave DFT calculation with meta-GGA SCAN was carried out for Mn2CoRh at its PBEsol-relaxed geometry.

Summary:
Energy relative to the elements ... -0.331 eV/atom
DOS at the Fermi energy ... 3.050 states/eV/f.u.
Volume ... 49 Å³/f.u.
Symmetry ... Fm-3m (225)

Cell lengths 4.1052, 4.1052, 4.1052 Å; angles 60.00, 60.00, 60.00 degrees
Last column: nearest neighbours and their distance in Å.
Fractional coordinates of all 4 atoms:
Mn1 0.2500 0.2500 0.2500  4 Rh 2.51, 4 Co 2.51
Co1 0.0000 0.0000 0.0000  8 Mn 2.51
Rh1 0.5000 0.5000 0.5000  8 Mn 2.51
Mn2 0.7500 0.7500 0.7500  4 Co 2.51, 4 Rh 2.51



8.
A plane-wave DFT calculation with meta-GGA SCAN was carried out for MnCoRh2 at its PBEsol-relaxed geometry.

Summary:
Energy relative to the elements ... -0.186 eV/atom
DOS at the Fermi energy ... 2.672 states/eV/f.u.
Volume ... 49 Å³/f.u.
Symmetry ... I4/mmm (139)

Cell lengths 3.7123, 3.7123, 4.4081 Å; angles 114.90, 114.90, 90.00 degrees
Last column: nearest neighbours and their distance in Å.
Fractional coordinates of all 4 atoms:
Rh1 0.7500 0.2500 0.5000  4 Mn 2.57, 4 Co 2.57, 4 Rh 2.62
Co1 0.5000 0.5000 0.0000  8 Rh 2.57, 4 Mn 2.62
Mn1 0.0000 0.0000 0.0000  8 Rh 2.57, 4 Co 2.62
Rh2 0.2500 0.7500 0.5000  4 Mn 2.57, 4 Co 2.57, 4 Rh 2.62



9.
A plane-wave DFT calculation with meta-GGA SCAN was carried out for Mn2CoRu at its PBEsol-relaxed geometry.

Summary:
Energy relative to the elements ... 0.129 eV/atom
DOS at the Fermi energy ... 4.066 states/eV/f.u.
Volume ... 44 Å³/f.u.
Symmetry ... Pmmm (47)

Cell lengths 2.5245, 3.5066, 5.0130 Å; angles 90.00, 90.00, 90.00 degrees
Last column: nearest neighbours and their distance in Å.
Fractional coordinates of all 4 atoms:
Mn1 0.0000 0.0000 0.7331  3 Mn 2.34-2.52, 4 Co 2.46, 4 Ru 2.54
Ru1 0.5000 0.5000 0.0000  2 Co 2.51, 2 Ru 2.52, 8 Mn 2.54
Mn2 0.0000 0.0000 0.2669  3 Mn 2.34-2.52, 4 Co 2.46, 4 Ru 2.54
Co1 0.5000 0.5000 0.5000  8 Mn 2.46, 2 Ru 2.51, 2 Co 2.52



10.
A plane-wave DFT calculation with meta-GGA SCAN was carried out for Mn2CoRu at its PBEsol-relaxed geometry.

Summary:
Energy relative to the elements ... 0.083 eV/atom
DOS at the Fermi energy ... 3.930 states/eV/f.u.
Volume ... 44 Å³/f.u.
Symmetry ... P4/mmm (123)

Cell lengths 3.5287, 3.5408, 3.5408 Å; angles 90.00, 90.00, 90.00 degrees
Last column: nearest neighbours and their distance in Å.
Fractional coordinates of all 4 atoms:
Mn1 0.0000 0.0000 0.5000  4 Co 2.50, 4 Ru 2.50, 4 Mn 2.50
Ru1 0.5000 0.5000 0.5000  8 Mn 2.50, 4 Co 2.50
Co1 0.5000 0.0000 0.0000  8 Mn 2.50, 4 Ru 2.50
Mn2 0.0000 0.5000 0.0000  4 Co 2.50, 4 Ru 2.50, 4 Mn 2.50



11.
A plane-wave DFT calculation with meta-GGA SCAN was carried out for MnCoRu2 at its PBEsol-relaxed geometry.

Summary:
Energy relative to the elements ... 0.151 eV/atom
DOS at the Fermi energy ... 4.218 states/eV/f.u.
Volume ... 47 Å³/f.u.
Symmetry ... P4mm (99)

Cell lengths 2.5707, 2.5707, 7.1653 Å; angles 90.00, 90.00, 90.00 degrees
Last column: nearest neighbours and their distance in Å.
Fractional coordinates of all 4 atoms:
Ru1 0.5000 0.5000 0.2610  4 Co 2.55, 8 Ru 2.57-2.67
Ru2 0.0000 0.0000 0.9888  4 Mn 2.55, 8 Ru 2.57-2.67
Mn1 0.5000 0.5000 0.7392  4 Co 2.45, 4 Ru 2.55, 4 Mn 2.57
Co1 0.0000 0.0000 0.5109  4 Mn 2.45, 4 Ru 2.55, 4 Co 2.57



12.
A plane-wave DFT calculation with meta-GGA SCAN was carried out for MnCoRu2 at its PBEsol-relaxed geometry.

Summary:
Energy relative to the elements ... 0.107 eV/atom
DOS at the Fermi energy ... 3.565 states/eV/f.u.
Volume ... 47 Å³/f.u.
Symmetry ... Cmmm (65)

Cell lengths 2.5753, 4.4076, 4.4076 Å; angles 108.42, 90.00, 90.00 degrees
Last column: nearest neighbours and their distance in Å.
Fractional coordinates of all 4 atoms:
Co1 0.5000 0.0000 0.0000  8 Ru 2.55, 2 Co 2.58, 2 Mn 2.58
Ru1 0.0000 0.5000 0.0000  4 Co 2.55, 4 Mn 2.55, 4 Ru 2.58
Mn1 0.5000 0.5000 0.5000  8 Ru 2.55, 2 Mn 2.58, 2 Co 2.58
Ru2 0.0000 0.0000 0.5000  4 Mn 2.55, 4 Co 2.55, 4 Ru 2.58



13.
A plane-wave DFT calculation with meta-GGA SCAN was carried out for MnCoRu2 at its PBEsol-relaxed geometry.

Summary:
Energy relative to the elements ... 0.141 eV/atom
DOS at the Fermi energy ... 3.191 states/eV/f.u.
Volume ... 47 Å³/f.u.
Symmetry ... Amm2 (38)

Cell lengths 2.5808, 3.9078, 4.8429 Å; angles 90.00, 105.45, 90.00 degrees
Last column: nearest neighbours and their distance in Å.
Fractional coordinates of all 4 atoms:
Co1 0.6917 0.0000 0.3835  2 Mn 2.30, 7 Ru 2.48-2.54
Ru1 0.2927 0.5000 0.5854  3 Mn 2.50-2.52, 4 Co 2.52, 6 Ru 2.58-2.80
Mn1 0.5610 0.5000 0.1220  2 Co 2.30, 7 Ru 2.50-2.53
Ru2 0.9571 0.0000 0.9142  3 Co 2.48-2.54, 4 Mn 2.53, 2 Ru 2.58



14.
A plane-wave DFT calculation with meta-GGA SCAN was carried out for MnCo3Sb at its PBEsol-relaxed geometry.

Summary:
DOS at the Fermi energy ... 6.485 states/eV/f.u.
ΔE_f (raw) ... 1164 meV per atom
Volume ... 92 Å³/f.u.
Symmetry ... Pm-3m (221)

Cell lengths 4.5172, 4.5172, 4.5172 Å; angles 90.00, 90.00, 90.00 degrees
Last column: nearest neighbours and their distance in Å.
Fractional coordinates of all 5 atoms:
Co1 0.5000 0.0000 0.0000  2 Sb 2.26
Co2 0.0000 0.5000 0.0000  2 Sb 2.26
Co3 0.0000 0.0000 0.5000  2 Sb 2.26
Mn1 0.5000 0.5000 0.5000  12 Co 3.19
Sb1 0.0000 0.0000 0.0000  6 Co 2.26



15.
A plane-wave DFT calculation with meta-GGA SCAN was carried out for MnCoSb2Te at its PBEsol-relaxed geometry.

Summary:
DOS at the Fermi energy ... 3.518 states/eV/f.u.
ΔE_f (raw) ... 473 meV per atom
Volume ... 120 Å³/f.u.
Symmetry ... P4/mmm (123)

Cell lengths 4.7218, 4.7218, 5.3749 Å; angles 90.00, 90.00, 90.00 degrees
Last column: nearest neighbours and their distance in Å.
Fractional coordinates of all 5 atoms:
Mn1 0.5000 0.5000 0.5000  4 Te 3.34, 8 Sb 3.58
Te1 0.0000 0.0000 0.5000  2 Co 2.69
Sb1 0.5000 0.0000 0.0000  2 Co 2.36
Sb2 0.0000 0.5000 0.0000  2 Co 2.36
Co1 0.0000 0.0000 0.0000  4 Sb 2.36